Material: CsNa2I
Method: DFT, GGA-PBE
State: optimized geometry

POSCAR file:
```
CsNa2I
1.0
0.0000 4.5904 4.5904
4.5904 0.0000 4.5904
4.5904 4.5904 0.0000
I Na Cs
1 2 1
direct
0.0000 0.0000 0.0000 I
0.7500 0.7500 0.7500 Na
0.2500 0.2500 0.2500 Na
0.5000 0.5000 0.5000 Cs
```

Values from the calculation:
The total DFT energy (no corrections) is -1.553 eV per atom. The value obtained for the uncorrected formation energy is -292 meV per atom. Its space group is No. 225. The energy above the most stable polymorph in this dataset comes out at 0.2018 eV per atom.